[1]
Compound: LaSmI4
Source: Alexandria via LeMat-Bulk
Functional: PBE
Structure: optimized geometry

The structure in extended XYZ format:
```
6
Lattice="-3.153 3.153 6.123 3.153 -3.153 6.123 3.153 3.153 -6.123" Properties=species:S:1:pos:R:3 pbc="T T T"
La 0.000 0.000 0.000
Sm 3.153 0.000 3.062
I 0.000 0.000 3.262
I 0.000 3.153 0.119
I 0.000 0.000 8.985
I 0.000 3.153 6.005
```

Summary:
Density of states at the Fermi level, states/eV per cell: 3.50
Crystal system: tetragonal
Space group: No. 119
Energy relative to the lowest polymorph listed for this composition, meV per atom: 76
E_form (uncorrected), eV per atom: -1.249

[2]
Compound: LaSm2I8
Source: Alexandria via LeMat-Bulk
Functional: PBE
Structure: optimized geometry

The structure in extended XYZ format:
```
11
Lattice="7.725 -5.693 0.000 7.725 5.693 0.000 -0.322 0.000 7.414" Properties=species:S:1:pos:R:3 pbc="T T T"
La 0.000 0.000 0.000
Sm 2.645 0.000 4.812
Sm 12.483 0.000 2.602
I 6.415 3.340 1.767
I 2.720 0.000 1.778
I 8.713 3.340 5.647
I 5.386 0.000 5.706
I 9.742 0.000 1.708
I 6.415 -3.340 1.767
I 12.408 0.000 5.635
I 8.713 -3.340 5.647
```

Summary:
Density of states at the Fermi level, states/eV per cell: 0.99
Crystal system: monoclinic
Space group: No. 12
E_form (uncorrected), eV per atom: -1.259

[3]
Compound: LaSmI4
Source: Alexandria via LeMat-Bulk
Functional: PBE
Structure: optimized geometry

The structure in extended XYZ format:
```
12
Lattice="5.303 -7.812 0.000 5.303 7.812 0.000 -5.126 0.000 5.580" Properties=species:S:1:pos:R:3 pbc="T T T"
La 1.459 4.718 4.185
La 4.022 -4.718 1.395
Sm 4.022 6.006 1.395
Sm 1.459 -6.006 4.185
I 2.003 3.023 1.520
I -0.897 0.778 3.578
I 1.667 -0.778 0.789
I 6.040 3.023 1.270
I -0.560 -3.023 4.310
I 3.814 0.778 4.791
I 6.377 -0.778 2.001
I 3.477 -3.023 4.060
```

Summary:
Density of states at the Fermi level, states/eV per cell: 5.54
Crystal system: monoclinic
Space group: No. 15
Energy relative to the lowest polymorph listed for this composition, meV per atom: 104
E_form (uncorrected), eV per atom: -1.220

[4]
Compound: LaSmI3
Source: Alexandria via LeMat-Bulk
Functional: PBE
Structure: optimized geometry

The structure in extended XYZ format:
```
10
Lattice="8.071 0.000 0.000 0.000 4.020 0.000 -3.785 0.000 12.090" Properties=species:S:1:pos:R:3 pbc="T T T"
La 0.393 1.005 2.090
La 3.893 3.015 9.999
Sm -1.576 1.005 8.130
Sm 5.861 3.015 3.959
I -0.106 1.005 5.321
I -1.914 1.005 11.278
I 2.825 3.015 2.975
I 1.460 1.005 9.114
I 6.200 3.015 0.812
I 4.391 3.015 6.768
```

Summary:
Density of states at the Fermi level, states/eV per cell: 8.14
Crystal system: monoclinic
Space group: No. 11
E_form (uncorrected), eV per atom: -1.112

[5]
Compound: LaSmI2
Source: Alexandria via LeMat-Bulk
Functional: PBE
Structure: optimized geometry

The structure in extended XYZ format:
```
4
Lattice="1.968 1.136 9.631 -1.968 1.136 9.631 0.000 -2.273 9.631" Properties=species:S:1:pos:R:3 pbc="T T T"
La 0.000 0.000 0.000
Sm 0.000 0.000 4.722
I 0.000 0.000 12.060
I 0.000 0.000 16.724
```

Summary:
Density of states at the Fermi level, states/eV per cell: 2.45
Crystal system: trigonal
Space group: No. 160
E_form (uncorrected), eV per atom: -0.915

[6]
Compound: LaSmI4
Source: Alexandria via LeMat-Bulk
Functional: PBE
Structure: optimized geometry

The structure in extended XYZ format:
```
6
Lattice="7.390 0.000 0.000 0.000 4.258 0.000 -2.397 0.000 8.167" Properties=species:S:1:pos:R:3 pbc="T T T"
La 0.000 0.000 0.000
Sm 3.695 2.129 0.000
I 1.294 2.129 2.072
I 0.120 0.000 6.147
I 4.873 0.000 2.020
I 3.699 2.129 6.095
```

Summary:
Density of states at the Fermi level, states/eV per cell: 3.81
Crystal system: monoclinic
Space group: No. 10
Energy relative to the lowest polymorph listed for this composition, meV per atom: 0
E_form (uncorrected), eV per atom: -1.325

[7]
Compound: La2SmI6
Source: Alexandria via LeMat-Bulk
Functional: PBE
Structure: optimized geometry

The structure in extended XYZ format:
```
9
Lattice="8.775 -2.145 0.000 8.775 2.145 0.000 -5.037 0.000 10.560" Properties=species:S:1:pos:R:3 pbc="T T T"
La 1.101 0.000 3.290
La 11.412 0.000 7.270
Sm 8.775 0.000 0.000
I 2.311 0.000 0.373
I 0.287 0.000 6.495
I 5.004 0.000 7.601
I 7.509 0.000 2.959
I 12.226 0.000 4.065
I 10.202 0.000 10.187
```

Summary:
Density of states at the Fermi level, states/eV per cell: 6.23
Crystal system: monoclinic
Space group: No. 12
Energy relative to the lowest polymorph listed for this composition, meV per atom: 0
E_form (uncorrected), eV per atom: -1.348

[8]
Compound: La2Sm2I7
Source: Alexandria via LeMat-Bulk
Functional: PBE
Structure: optimized geometry

The structure in extended XYZ format:
```
11
Lattice="4.677 -6.806 0.000 4.677 6.806 0.000 -0.265 0.000 8.249" Properties=species:S:1:pos:R:3 pbc="T T T"
La 4.677 4.855 0.000
La 4.677 -4.855 0.000
Sm 1.731 0.000 2.909
Sm 7.358 0.000 5.340
I 2.599 2.743 1.843
I 1.076 0.000 6.019
I 2.599 -2.743 1.843
I 4.545 0.000 4.125
I 6.490 2.743 6.406
I 8.013 0.000 2.230
I 6.490 -2.743 6.406
```

Summary:
Density of states at the Fermi level, states/eV per cell: 7.39
Crystal system: monoclinic
Space group: No. 12
E_form (uncorrected), eV per atom: -1.067

[9]
Compound: La2SmI6
Source: Alexandria via LeMat-Bulk
Functional: PBE
Structure: optimized geometry

The structure in extended XYZ format:
```
18
Lattice="8.091 0.000 0.000 0.000 8.091 0.000 0.000 0.000 12.231" Properties=species:S:1:pos:R:3 pbc="T T T"
La 0.000 0.000 2.061
La 0.000 0.000 10.170
La 4.045 4.045 4.054
La 4.045 4.045 8.177
Sm 0.000 0.000 6.115
Sm 4.045 4.045 0.000
I 1.735 1.735 4.127
I 1.735 1.735 8.104
I 1.786 1.786 0.000
I 2.260 5.831 6.115
I 2.310 5.781 1.989
I 2.310 5.781 10.242
I 5.781 2.310 1.989
I 5.781 2.310 10.242
I 5.831 2.260 6.115
I 6.305 6.305 0.000
I 6.356 6.356 4.127
I 6.356 6.356 8.104
```

Summary:
Density of states at the Fermi level, states/eV per cell: 12.38
Crystal system: tetragonal
Space group: No. 136
Energy relative to the lowest polymorph listed for this composition, meV per atom: 102
E_form (uncorrected), eV per atom: -1.246

[10]
Compound: LaSmTeI
Source: Alexandria via LeMat-Bulk
Functional: PBE
Structure: optimized geometry

The structure in extended XYZ format:
```
4
Lattice="0.000 3.893 3.893 3.893 0.000 3.893 3.893 3.893 0.000" Properties=species:S:1:pos:R:3 pbc="T T T"
La 0.000 0.000 0.000
Sm 3.893 3.893 3.893
Te 1.947 1.947 1.947
I 5.840 5.840 5.840
```

Summary:
Density of states at the Fermi level, states/eV per cell: 3.75
Crystal system: cubic
Space group: No. 216
E_form (uncorrected), eV per atom: -1.148

[11]
Compound: LaSmTlI
Source: Alexandria via LeMat-Bulk
Functional: PBE
Structure: optimized geometry

The structure in extended XYZ format:
```
4
Lattice="2.313 1.335 7.375 -2.313 1.335 7.375 0.000 -2.671 7.375" Properties=species:S:1:pos:R:3 pbc="T T T"
La 0.000 0.000 0.000
Sm 0.000 0.000 11.387
Tl 0.000 0.000 5.627
I 0.000 0.000 16.808
```

Summary:
Density of states at the Fermi level, states/eV per cell: 2.33
Crystal system: trigonal
Space group: No. 160
Energy relative to the lowest polymorph listed for this composition, meV per atom: 0
E_form (uncorrected), eV per atom: -0.635

[12]
Compound: LaSmTlI
Source: Alexandria via LeMat-Bulk
Functional: PBE
Structure: optimized geometry

The structure in extended XYZ format:
```
4
Lattice="0.000 3.956 3.956 3.956 0.000 3.956 3.956 3.956 0.000" Properties=species:S:1:pos:R:3 pbc="T T T"
La 0.000 0.000 0.000
Sm 3.956 3.956 3.956
Tl 1.978 1.978 1.978
I 5.934 5.934 5.934
```

Summary:
Density of states at the Fermi level, states/eV per cell: 2.89
Crystal system: cubic
Space group: No. 216
Energy relative to the lowest polymorph listed for this composition, meV per atom: 103
E_form (uncorrected), eV per atom: -0.532

[13]
Compound: La6SnI8
Source: Alexandria via LeMat-Bulk
Functional: PBE
Structure: optimized geometry

The structure in extended XYZ format:
```
15
Lattice="3.922 2.264 11.704 -3.922 2.264 11.704 0.000 -4.529 11.704" Properties=species:S:1:pos:R:3 pbc="T T T"
La -1.295 -2.244 15.738
La -2.590 -0.001 19.376
La -1.296 2.243 15.738
La 1.296 -2.243 19.376
La 2.590 0.001 15.738
La 1.295 2.244 19.376
Sn 0.000 0.000 17.557
I -2.602 0.000 13.709
I 0.000 0.000 5.853
I -1.300 -2.253 21.405
I 1.301 -2.253 13.709
I -1.301 2.253 21.405
I 1.300 2.253 13.709
I 0.000 0.000 29.260
I 2.602 0.000 21.405
```

Summary:
Density of states at the Fermi level, states/eV per cell: 9.49
Crystal system: trigonal
Space group: No. 148
E_form (uncorrected), eV per atom: -1.258

[14]
Compound: LaSnI2
Source: Alexandria via LeMat-Bulk
Functional: PBE
Structure: optimized geometry

The structure in extended XYZ format:
```
4
Lattice="1.998 1.153 11.421 -1.998 1.153 11.421 0.000 -2.307 11.421" Properties=species:S:1:pos:R:3 pbc="T T T"
La 0.000 0.000 0.000
Sn 0.000 0.000 17.131
I 0.000 0.000 3.083
I 0.000 0.000 31.179
```

Summary:
Density of states at the Fermi level, states/eV per cell: 2.69
Crystal system: trigonal
Space group: No. 166
Energy relative to the lowest polymorph listed for this composition, meV per atom: 289
E_form (uncorrected), eV per atom: -0.263

[15]
Compound: La4Sn2I
Source: Alexandria via LeMat-Bulk
Functional: PBE
Structure: optimized geometry

The structure in extended XYZ format:
```
7
Lattice="-2.880 2.880 8.432 2.880 -2.880 8.432 2.880 2.880 -8.432" Properties=species:S:1:pos:R:3 pbc="T T T"
La 2.880 0.000 0.000
La 0.000 0.000 3.102
La 0.000 2.880 0.000
La 0.000 0.000 13.763
Sn 0.000 0.000 6.315
Sn 0.000 0.000 10.550
I 0.000 0.000 0.000
```

Summary:
Density of states at the Fermi level, states/eV per cell: 6.76
Crystal system: tetragonal
Space group: No. 139
Energy relative to the lowest polymorph listed for this composition, meV per atom: 314
E_form (uncorrected), eV per atom: -0.305

[16]
Compound: LaSnI5
Source: Alexandria via LeMat-Bulk
Functional: PBE
Structure: optimized geometry

The structure in extended XYZ format:
```
14
Lattice="9.177 0.000 0.000 0.000 4.622 0.000 -1.113 0.000 15.198" Properties=species:S:1:pos:R:3 pbc="T T T"
La 0.674 1.155 2.301
La 7.391 3.466 12.897
Sn 3.274 3.466 5.628
Sn 4.790 1.155 9.570
I 0.216 1.155 12.006
I 0.973 1.155 5.620
I 1.682 3.466 0.202
I 2.665 3.466 8.663
I 3.751 1.155 2.857
I 4.313 3.466 12.341
I 5.400 1.155 6.535
I 6.382 1.155 14.997
I 7.091 3.466 9.579
I 7.849 3.466 3.192
```

Summary:
Density of states at the Fermi level, states/eV per cell: 0.00
Crystal system: monoclinic
Space group: No. 11
E_form (uncorrected), eV per atom: -1.056

[17]
Compound: La3SnI2
Source: Alexandria via LeMat-Bulk
Functional: PBE
Structure: optimized geometry

The structure in extended XYZ format:
```
12
Lattice="3.949 -6.862 0.000 3.949 6.862 0.000 -2.668 0.000 7.708" Properties=species:S:1:pos:R:3 pbc="T T T"
La 1.974 3.431 0.000
La 0.503 1.075 3.804
La -0.831 -1.075 7.658
La 0.641 -3.431 3.854
La 6.061 1.075 0.050
La 4.727 -1.075 3.904
Sn 3.282 5.637 1.927
Sn 1.948 -5.637 5.781
I 1.948 3.368 5.781
I 3.282 1.117 1.927
I 1.948 -1.117 5.781
I 3.282 -3.368 1.927
```

Summary:
Density of states at the Fermi level, states/eV per cell: 8.83
Crystal system: monoclinic
Space group: No. 15
E_form (uncorrected), eV per atom: -0.984

[18]
Compound: La4Sn2I
Source: Alexandria via LeMat-Bulk
Functional: PBE
Structure: optimized geometry

The structure in extended XYZ format:
```
14
Lattice="6.832 0.000 0.000 0.000 6.670 0.000 -2.838 0.000 10.446" Properties=species:S:1:pos:R:3 pbc="T T T"
La -0.778 1.668 3.641
La -1.889 1.668 10.017
La 2.524 3.428 2.395
La 2.524 6.577 2.395
La 1.470 0.093 8.050
La 1.470 3.242 8.050
La 5.882 5.003 0.429
La 4.772 5.003 6.804
Sn -0.684 5.003 9.851
Sn 1.532 5.003 5.258
Sn 2.461 1.668 5.188
Sn 4.678 1.668 0.595
I -1.203 1.668 6.895
I 5.197 5.003 3.551
```

Summary:
Density of states at the Fermi level, states/eV per cell: 15.90
Crystal system: monoclinic
Space group: No. 11
Energy relative to the lowest polymorph listed for this composition, meV per atom: 0
E_form (uncorrected), eV per atom: -0.620

[19]
Compound: La4SnI2
Source: Alexandria via LeMat-Bulk
Functional: PBE
Structure: optimized geometry

The structure in extended XYZ format:
```
7
Lattice="-3.041 3.041 8.001 3.041 -3.041 8.001 3.041 3.041 -8.001" Properties=species:S:1:pos:R:3 pbc="T T T"
La 3.041 0.000 0.000
La 0.000 0.000 3.138
La 0.000 3.041 0.000
La 0.000 0.000 12.863
Sn 0.000 0.000 0.000
I 0.000 0.000 6.290
I 0.000 0.000 9.711
```

Summary:
Density of states at the Fermi level, states/eV per cell: 9.00
Crystal system: tetragonal
Space group: No. 139
E_form (uncorrected), eV per atom: -0.421

[20]
Compound: La3SnI
Source: Alexandria via LeMat-Bulk
Functional: PBE
Structure: optimized geometry

The structure in extended XYZ format:
```
10
Lattice="9.286 -2.197 0.000 9.286 2.197 0.000 -4.491 0.000 9.374" Properties=species:S:1:pos:R:3 pbc="T T T"
La 0.120 0.000 1.796
La -0.535 0.000 5.735
La 6.387 0.000 0.436
La 7.694 0.000 8.938
La 14.616 0.000 3.639
La 13.960 0.000 7.578
Sn 6.314 0.000 5.988
Sn 7.767 0.000 3.386
I 3.398 0.000 2.050
I 10.682 0.000 7.324
```

Summary:
Density of states at the Fermi level, states/eV per cell: 11.58
Crystal system: monoclinic
Space group: No. 12
Energy relative to the lowest polymorph listed for this composition, meV per atom: 0
E_form (uncorrected), eV per atom: -0.646